Density functional theory data (PBE) for a relaxed ZnCrIn2 crystal.

Its total energy is -3.84 eV/atom. Its density of states at the Fermi level is 2.01 states/eV/f.u. The formation energy comes out at 257.7 meV/atom.

It has space group Pmm2 (No. 25), with a = 3.269 Å, b = 4.678 Å, c = 5.116 Å, α = 90.00°, β = 90.00° and γ = 90.00°. The asymmetric unit holds Zn at (0.000, 0.000, 0.000), Cr at (0.000, 0.500, 0.670), In at (0.500, 0.000, 0.533) and In at (0.500, 0.500, 0.146).